Entry from Alexandria: a relaxed DyTc3 crystal (PBE).

a = 4.554 Å, b = 4.554 Å, c = 12.970 Å
α = 90.00°, β = 90.00°, γ = 90.00°
Space group I4/mmm (No. 139)
One atom of each set of equivalent atoms:
1 Dy 0.000 0.000 0.125
2 Tc 0.000 0.000 0.371
3 Tc 0.000 0.500 0.000
4 Tc 0.000 0.500 0.250

* ΔH_f (0 K): 0.209 eV per atom